The following is a DFT calculation (GGA-PBE) of crystalline NaPr5Te8 at its relaxed geometry.

Cell and atoms, written as POSCAR:
```
NaPr5Te8
1.0
1.856 4.697 6.624
-8.271 -0.196 -0.968
2.871 -7.734 1.154
Na Pr Te
1 5 8
Cartesian
0.000 0.000 0.000 Na
-6.001 1.198 2.616 Pr
-1.867 -0.102 4.102 Pr
-4.304 -2.840 1.507 Pr
-0.031 -4.285 1.257 Pr
0.811 -3.276 5.645 Pr
-3.297 0.212 1.190 Te
0.029 2.143 5.827 Te
-4.004 1.972 5.304 Te
0.829 -1.392 2.806 Te
-4.961 -1.428 4.523 Te
-1.993 -3.483 3.669 Te
-2.984 -5.788 0.465 Te
2.207 -5.167 3.456 Te
```

* calculated volume: 445 Å³ per cell
* density: 6.53 g cm⁻³
* calculated total energy: -70.338 eV per cell